# 1
A relaxed structure of KPmTeO. Source: OQMD, functional GGA-PBE. Values from VASP.

Quantum ESPRESSO input file:
```
&SYSTEM
  ibrav = 0, nat = 8, ntyp = 4
/
ATOMIC_SPECIES
Pm 145.00 Pm.upf
O 16.00 O.upf
K 39.10 K.upf
Te 127.60 Te.upf
CELL_PARAMETERS angstrom
-0.811 4.167 -0.836
-3.576 -1.129 -2.158
-5.714 0.712 9.096
ATOMIC_POSITIONS crystal
Pm 0.750 0.750 0.907
Pm 0.250 0.250 0.093
O 0.250 0.750 0.000
K 0.750 0.250 0.500
K 0.250 0.750 0.500
Te 0.250 0.250 0.733
Te 0.750 0.750 0.267
O 0.750 0.250 0.000
```

Properties
ρ: 5401 kg/m3
E_tot: -5.4125 eV per atom

***

# 2
A relaxed structure of KPr2O4. Source: OQMD, functional GGA-PBE. Values from VASP.

Quantum ESPRESSO input file:
```
&SYSTEM
  ibrav = 0, nat = 14, ntyp = 3
/
ATOMIC_SPECIES
O 16.00 O.upf
K 39.10 K.upf
Pr 140.91 Pr.upf
CELL_PARAMETERS angstrom
-3.088 0.668 -6.638
5.528 4.439 1.946
1.290 -7.117 -1.315
ATOMIC_POSITIONS crystal
O 0.604 0.791 0.396
O 0.604 0.209 0.396
K 0.000 0.000 0.000
K 0.750 0.500 0.250
O 0.563 0.709 0.854
Pr 0.375 0.250 0.625
O 0.146 0.709 0.854
Pr 0.875 0.250 0.625
O 0.187 0.791 0.396
Pr 0.375 0.750 0.625
Pr 0.375 0.750 0.125
O 0.604 0.209 0.813
O 0.146 0.291 0.854
O 0.146 0.291 0.437
```

Properties
ρ: 4549 kg/m3
E_tot: -6.8491 eV per atom

***

# 3
A relaxed structure of K4PrO4. Source: OQMD, functional GGA-PBE. Values from VASP.

Quantum ESPRESSO input file:
```
&SYSTEM
  ibrav = 0, nat = 18, ntyp = 3
/
ATOMIC_SPECIES
O 16.00 O.upf
K 39.10 K.upf
Pr 140.91 Pr.upf
CELL_PARAMETERS angstrom
-0.816 6.289 1.971
-6.032 1.031 2.741
2.378 0.575 9.735
ATOMIC_POSITIONS crystal
O 0.368 0.988 0.694
K 0.749 0.741 0.522
K 0.415 0.747 0.308
O 0.714 0.471 0.115
Pr 0.857 0.206 0.265
K 0.482 0.232 0.066
K 0.952 0.734 0.105
Pr 0.143 0.794 0.735
O 0.179 0.007 0.129
K 0.251 0.259 0.478
O 0.287 0.529 0.885
K 0.585 0.253 0.692
K 0.048 0.266 0.894
K 0.518 0.768 0.934
O 0.156 0.643 0.552
O 0.844 0.357 0.448
O 0.821 0.993 0.871
O 0.632 0.012 0.306
```

Properties
ρ: 3063 kg/m3
E_tot: -4.8523 eV per atom

***

# 4
A relaxed structure of K2Pr2O. Source: OQMD, functional GGA-PBE. Values from VASP.

Quantum ESPRESSO input file:
```
&SYSTEM
  ibrav = 0, nat = 5, ntyp = 3
/
ATOMIC_SPECIES
Pr 140.91 Pr.upf
O 16.00 O.upf
K 39.10 K.upf
CELL_PARAMETERS angstrom
-2.856 2.856 5.548
2.856 -2.856 5.548
2.856 2.856 -5.548
ATOMIC_POSITIONS crystal
Pr 0.202 0.202 0.000
Pr 0.798 0.798 0.000
O 0.000 0.000 0.000
K 0.500 0.000 0.500
K 0.000 0.500 0.500
```

Properties
ρ: 3450 kg/m3
E_tot: -3.9532 eV per atom

***

# 5
A relaxed structure of K2Pr2O5. Source: OQMD, functional GGA-PBE. Values from VASP.

Quantum ESPRESSO input file:
```
&SYSTEM
  ibrav = 0, nat = 9, ntyp = 3
/
ATOMIC_SPECIES
Pr 140.91 Pr.upf
K 39.10 K.upf
O 16.00 O.upf
CELL_PARAMETERS angstrom
-7.372 0.449 5.333
0.108 -4.456 0.525
2.635 0.488 3.601
ATOMIC_POSITIONS crystal
Pr 0.255 0.500 0.500
K 0.500 0.000 0.000
K 0.000 0.000 0.000
O 0.801 0.500 0.000
O 0.199 0.500 0.000
O 0.500 0.500 0.500
Pr 0.745 0.500 0.500
O 0.199 0.000 0.500
O 0.801 0.000 0.500
```

Properties
ρ: 3981 kg/m3
E_tot: -6.0956 eV per atom

***

# 6
A relaxed structure of KPrO2. Source: OQMD, functional GGA-PBE. Values from VASP.

Quantum ESPRESSO input file:
```
&SYSTEM
  ibrav = 0, nat = 4, ntyp = 3
/
ATOMIC_SPECIES
K 39.10 K.upf
O 16.00 O.upf
Pr 140.91 Pr.upf
CELL_PARAMETERS angstrom
1.821 -3.154 0.000
1.821 3.154 0.000
-1.821 1.051 6.215
ATOMIC_POSITIONS crystal
K 0.000 0.000 0.000
O 0.536 0.768 0.304
O 0.464 0.232 0.696
Pr 0.000 0.500 0.500
```

Properties
ρ: 4932 kg/m3
E_tot: -6.5195 eV per atom

***

# 7
A relaxed structure of K2Pr2O5. Source: OQMD, functional GGA-PBE. Values from VASP.

Quantum ESPRESSO input file:
```
&SYSTEM
  ibrav = 0, nat = 9, ntyp = 3
/
ATOMIC_SPECIES
K 39.10 K.upf
O 16.00 O.upf
Pr 140.91 Pr.upf
CELL_PARAMETERS angstrom
7.209 0.000 0.000
0.000 4.430 0.000
0.000 0.000 4.430
ATOMIC_POSITIONS crystal
K 0.186 0.500 0.500
O 0.213 0.500 0.000
Pr 0.000 0.000 0.000
O 0.213 0.000 0.500
O 0.787 0.500 0.000
O 0.787 0.000 0.500
O 0.500 0.500 0.500
K 0.814 0.500 0.500
Pr 0.500 0.000 0.000
```

Properties
ρ: 5165 kg/m3
E_tot: -5.2375 eV per atom

***

# 8
A relaxed structure of KPrTeO. Source: OQMD, functional GGA-PBE. Values from VASP.

Quantum ESPRESSO input file:
```
&SYSTEM
  ibrav = 0, nat = 4, ntyp = 4
/
ATOMIC_SPECIES
K 39.10 K.upf
Te 127.60 Te.upf
Pr 140.91 Pr.upf
O 16.00 O.upf
CELL_PARAMETERS angstrom
-6.140 0.187 4.810
-2.951 1.060 7.145
-4.645 3.948 4.870
ATOMIC_POSITIONS crystal
K 0.989 0.989 0.989
Te 0.760 0.760 0.760
Pr 0.522 0.522 0.522
O 0.229 0.229 0.229
```

Properties
ρ: 5087 kg/m3
E_tot: -5.2960 eV per atom

***

# 9
A relaxed structure of KPrTeO. Source: OQMD, functional GGA-PBE. Values from VASP.

Quantum ESPRESSO input file:
```
&SYSTEM
  ibrav = 0, nat = 8, ntyp = 4
/
ATOMIC_SPECIES
Pr 140.91 Pr.upf
Te 127.60 Te.upf
K 39.10 K.upf
O 16.00 O.upf
CELL_PARAMETERS angstrom
-2.096 1.065 -3.698
1.637 -3.564 -1.954
-8.599 -5.719 3.226
ATOMIC_POSITIONS crystal
Pr 0.250 0.250 0.095
Te 0.750 0.750 0.270
K 0.250 0.750 0.500
K 0.750 0.250 0.500
O 0.250 0.750 0.000
Pr 0.750 0.750 0.905
Te 0.250 0.250 0.730
O 0.750 0.250 0.000
```

Properties
ρ: 5174 kg/m3
E_tot: -5.4171 eV per atom

***

# 10
A relaxed structure of KPrTeO. Source: OQMD, functional GGA-PBE. Values from VASP.

Quantum ESPRESSO input file:
```
&SYSTEM
  ibrav = 0, nat = 16, ntyp = 4
/
ATOMIC_SPECIES
K 39.10 K.upf
Pr 140.91 Pr.upf
Te 127.60 Te.upf
O 16.00 O.upf
CELL_PARAMETERS angstrom
6.992 0.000 0.000
0.000 7.895 0.000
-1.121 0.000 8.322
ATOMIC_POSITIONS crystal
K 0.448 0.186 0.105
K 0.052 0.686 0.895
Pr 0.783 0.629 0.476
Pr 0.217 0.371 0.524
K 0.948 0.314 0.105
Te 0.125 0.082 0.777
O 0.606 0.852 0.579
K 0.552 0.814 0.895
O 0.106 0.648 0.579
Te 0.375 0.582 0.223
Pr 0.717 0.129 0.524
O 0.894 0.352 0.421
Te 0.875 0.918 0.223
Te 0.625 0.418 0.777
O 0.394 0.148 0.421
Pr 0.283 0.871 0.476
```

Properties
ρ: 4679 kg/m3
E_tot: -5.5133 eV per atom

***

# 11
A relaxed structure of KPrTeO. Source: OQMD, functional GGA-PBE. Values from VASP.

Quantum ESPRESSO input file:
```
&SYSTEM
  ibrav = 0, nat = 8, ntyp = 4
/
ATOMIC_SPECIES
O 16.00 O.upf
K 39.10 K.upf
Te 127.60 Te.upf
Pr 140.91 Pr.upf
CELL_PARAMETERS angstrom
6.978 0.000 0.000
0.000 4.961 0.000
0.000 0.000 8.546
ATOMIC_POSITIONS crystal
O 0.204 0.500 0.404
O 0.704 0.500 0.596
K 0.626 0.000 0.785
K 0.126 0.000 0.215
Te 0.639 0.000 0.192
Te 0.139 0.000 0.808
Pr 0.022 0.500 0.616
Pr 0.522 0.500 0.384
```

Properties
ρ: 3633 kg/m3
E_tot: -5.3835 eV per atom

***

# 12
A relaxed structure of KRbPt2O4. Source: OQMD, functional GGA-PBE. Values from VASP.

Quantum ESPRESSO input file:
```
&SYSTEM
  ibrav = 0, nat = 8, ntyp = 4
/
ATOMIC_SPECIES
O 16.00 O.upf
Rb 85.47 Rb.upf
K 39.10 K.upf
Pt 195.08 Pt.upf
CELL_PARAMETERS angstrom
-0.360 -1.495 -5.910
-3.133 -5.209 1.508
-6.009 -1.589 0.768
ATOMIC_POSITIONS crystal
O 0.244 0.609 0.609
Rb 0.500 0.805 0.805
O 0.254 0.391 0.391
O 0.746 0.391 0.391
K 0.000 0.196 0.196
O 0.756 0.609 0.609
Pt 0.500 0.503 0.503
Pt 0.000 0.497 0.497
```

Properties
ρ: 5786 kg/m3
E_tot: -5.1917 eV per atom

***

Q: Look up the ρ of the tenth one.
A: 4679 kg/m3